Entry from Alexandria via LeMat-Bulk: a relaxed structure of Sm2YEr8 (PBE).

- distance to the lowest polymorph of the same formula (kJ/mol of atoms) = 0.0
- total magnetization (μB per atom) = 0.000
- electronic total energy (eV/atom) = -4.61
- calculated formation energy (eV/atom) = 0.158
- symmetry = C2/m

Lattice parameters (Å, degrees): 9.2188 9.2188 5.8570 105.92 105.92 121.38
With the nearest neighbours (Å) after each atom.
Positions (direct):
Sm  0.1923  0.8077  0.0000  8 Er 3.35-3.49
Sm  0.8077  0.1923  0.0000  8 Er 3.35-3.49
Y  0.5000  0.5000  0.5000  4 Er 3.32-3.39
Er  0.0657  0.0657  0.2940  4 Er 2.95-3.23
Er  0.1664  0.4024  0.8200  4 Er 3.19-3.56, 2 Sm 3.45-3.49
Er  0.2934  0.7066  0.5000  1 Y 3.32, 2 Sm 3.35, 6 Er 3.56-3.66
Er  0.4024  0.1664  0.8200  4 Er 3.19-3.56, 2 Sm 3.45-3.49
Er  0.5976  0.8336  0.1800  4 Er 3.19-3.56, 2 Sm 3.45-3.49
Er  0.7066  0.2934  0.5000  1 Y 3.32, 2 Sm 3.35, 6 Er 3.56-3.66
Er  0.8336  0.5976  0.1800  4 Er 3.19-3.56, 2 Sm 3.45-3.49
Er  0.9343  0.9343  0.7060  4 Er 2.95-3.23

Entry from Alexandria via LeMat-Bulk: a relaxed structure of BaAc2Ag (PBE).

- distance to the lowest polymorph of the same formula (kJ/mol of atoms) = 8.4
- total magnetization (μB per atom) = 0.000
- electronic total energy (eV/atom) = -3.22
- calculated formation energy (eV/atom) = 0.029
- symmetry = R3m

Lattice parameters (Å, degrees): 11.7059 11.7059 11.7059 20.58 20.58 20.58
With the nearest neighbours (Å) after each atom.
Positions (direct):
Ba  0.0000  0.0000  0.0000  6 Ba 4.18, 6 Ac 4.23-4.29
Ac  0.5654  0.5654  0.5654  3 Ag 3.28
Ac  0.7697  0.7697  0.7697  3 Ag 3.28
Ag  0.1676  0.1676  0.1676  6 Ac 3.28

Entry from Alexandria via LeMat-Bulk: a relaxed structure of Ru2C3N6 (PBE).

- distance to the lowest polymorph of the same formula (kJ/mol of atoms) = 0.0
- total magnetization (μB per atom) = 0.000
- formation energy from raw total energies (eV per atom) = 0.350
- electronic total energy (eV/atom) = -8.39
- symmetry = C2/c

Lattice parameters (Å, degrees): 5.4518 5.4518 10.1273 105.63 105.63 58.65
With the nearest neighbours (Å) after each atom.
Positions (direct):
Ru  0.1530  0.6933  0.9982  6 N 2.03-2.14
Ru  0.3067  0.8470  0.5018  6 N 2.03-2.14
Ru  0.6933  0.1530  0.4982  6 N 2.03-2.14
Ru  0.8470  0.3067  0.0018  6 N 2.03-2.14
C  0.0854  0.2551  0.7628  2 N 1.23-1.24
C  0.2551  0.0854  0.2628  2 N 1.23-1.24
C  0.4346  0.5654  0.7500  2 N 1.24
C  0.5654  0.4346  0.2500  2 N 1.24
C  0.7449  0.9146  0.7372  2 N 1.23-1.24
C  0.9146  0.7449  0.2372  2 N 1.23-1.24
N  0.0516  0.1703  0.6377  1 C 1.23
N  0.0980  0.3411  0.8897  1 C 1.24
N  0.1703  0.0516  0.1377  1 C 1.23
N  0.3411  0.0980  0.3897  1 C 1.24
N  0.4140  0.5385  0.6226  1 C 1.24
N  0.4615  0.5860  0.8774  1 C 1.24
N  0.5385  0.4140  0.1226  1 C 1.24
N  0.5860  0.4615  0.3774  1 C 1.24
N  0.6589  0.9020  0.6103  1 C 1.24
N  0.8297  0.9484  0.8623  1 C 1.23
N  0.9020  0.6589  0.1103  1 C 1.24
N  0.9484  0.8297  0.3623  1 C 1.23

Entry from Alexandria via LeMat-Bulk: a relaxed structure of PmDy2Th (PBE).

- distance to the lowest polymorph of the same formula (kJ/mol of atoms) = 1.8
- total magnetization (μB per atom) = 0.000
- electronic total energy (eV/atom) = -5.33
- calculated formation energy (eV/atom) = 0.012
- symmetry = R3m

Lattice parameters (Å, degrees): 11.7325 11.7325 11.7325 17.64 17.64 17.64
With the nearest neighbours (Å) after each atom.
Positions (direct):
Pm  0.0000  0.0000  0.0000  6 Pm 3.60, 6 Dy 3.61-3.64
Dy  0.2483  0.2483  0.2483  3 Th 3.49, 6 Dy 3.60, 3 Pm 3.61
Dy  0.4195  0.4195  0.4195  3 Th 3.50, 6 Dy 3.60, 3 Pm 3.64
Th  0.8340  0.8340  0.8340  6 Dy 3.49-3.50, 6 Th 3.60